This record from the Alexandria database describes a geometry-optimized UMn2OsO8 structure. The functional is PBE with a Hubbard U.

Results
- SG = Cmmm (65)
- calculated total energy (eV per atom) = -8.37

Cell: 4.8314 4.8293 6.4275 Å, 90.00 90.00 91.99°
Site moments in Bohr magnetons follow the coordinates.
Element x y z (fractional)
U  0.0000  0.0000  0.5000  0.19
Mn  0.5000  0.5000  0.7594  4.49
Mn  0.5000  0.5000  0.2406  4.49
Os  0.0000  0.0000  0.0000  -0.43
O  0.1924  0.8068  0.2332  -0.03
O  0.7229  0.7236  0.0000  -0.04
O  0.8076  0.1932  0.2332  -0.03
O  0.8076  0.1932  0.7668  -0.03
O  0.2771  0.2764  0.0000  -0.04
O  0.1924  0.8068  0.7668  -0.03
O  0.7037  0.7045  0.5000  -0.01
O  0.2963  0.2955  0.5000  -0.01